i) Here is a relaxed structure of K2TlHg from Alexandria. Energies are from PBEsol.

Calculated values
**V**: 124.90 Å³/cell
**Density of states at the Fermi level**: 3.9 states/eV/cell
**Size of the total moment**: 0.001 μB per cell

Unit cell a=5.611 b=5.611 c=5.611 alpha=60.00 beta=60.00 gamma=60.00
Fractional coordinates of all 4 atoms:
K  0.750  0.750  0.750
Tl  0.250  0.250  0.250
Hg  0.500  0.500  0.500
K  0.000  0.000  0.000

***

ii) Here is a relaxed structure of K2TlHg from Alexandria. Energies are from PBEsol.

Calculated values
**V**: 137.91 Å³/cell
**Density of states at the Fermi level**: 2.6 states/eV/cell
**Size of the total moment**: 0.000 μB per cell

Unit cell a=4.199 b=4.665 c=7.041 alpha=90.00 beta=90.00 gamma=90.00
Fractional coordinates of all 4 atoms:
K  0.000  0.000  0.745
K  0.000  0.000  0.255
Hg  0.500  0.500  0.500
Tl  0.500  0.500  0.000

***

In order of decreasing stability: i), ii).

***

i) Here is a relaxed structure of Ta5Mo3 from Alexandria. Energies are from PBEsol.

Calculated values
**V**: 133.03 Å³/cell
**Density of states at the Fermi level**: 7.3 states/eV/cell
**Size of the total moment**: 0.000 μB per cell

Unit cell a=3.195 b=6.410 c=6.494 alpha=90.00 beta=90.00 gamma=90.00
Fractional coordinates of all 8 atoms:
Mo  0.000  0.253  0.996
Ta  0.500  0.000  0.761
Ta  0.500  0.000  0.244
Ta  0.000  0.745  0.504
Ta  0.000  0.255  0.504
Mo  0.000  0.747  0.996
Ta  0.500  0.500  0.239
Mo  0.500  0.500  0.755

***

ii) Here is a relaxed structure of Ta5Mo3 from Alexandria. Energies are from PBEsol.

Calculated values
**V**: 133.42 Å³/cell
**Density of states at the Fermi level**: 7.6 states/eV/cell
**Size of the total moment**: 0.000 μB per cell

Unit cell a=3.204 b=3.204 c=12.994 alpha=90.00 beta=90.00 gamma=90.00
Fractional coordinates of all 8 atoms:
Ta  0.500  0.500  0.740
Ta  0.500  0.500  0.260
Ta  0.500  0.500  0.000
Mo  0.500  0.500  0.500
Ta  0.000  0.000  0.129
Ta  0.000  0.000  0.871
Mo  0.000  0.000  0.382
Mo  0.000  0.000  0.618

***

In order of decreasing stability: i), ii).

***

i) Here is a relaxed structure of TcP2Au from Alexandria. Energies are from PBEsol.

Calculated values
**V**: 58.83 Å³/cell
**Density of states at the Fermi level**: 2.7 states/eV/cell
**Size of the total moment**: 0.511 μB per cell

Unit cell a=3.424 b=3.424 c=5.018 alpha=90.00 beta=90.00 gamma=90.00
Fractional coordinates of all 4 atoms:
Tc  0.000  0.000  0.454
Au  0.500  0.500  0.802
P  0.000  0.000  0.936
P  0.500  0.500  0.308

***

ii) Here is a relaxed structure of TcP2Au from Alexandria. Energies are from PBEsol.

Calculated values
**V**: 68.84 Å³/cell
**Density of states at the Fermi level**: 2.4 states/eV/cell
**Size of the total moment**: 0.000 μB per cell

Unit cell a=2.761 b=4.700 c=5.964 alpha=113.20 beta=103.38 gamma=90.00
Fractional coordinates of all 4 atoms:
P  0.680  0.680  0.360
Tc  0.000  0.500  0.000
Au  0.500  0.000  0.000
P  0.320  0.320  0.640

***

In order of decreasing stability: i), ii).